# 1
The following is a PBE calculation of an optimized crystal structure of DyCu3Te4, from OQMD.

Cell and atoms, written as CIF:
```
data_DyCu3Te4
_cell_length_a 7.5202
_cell_length_b 7.5202
_cell_length_c 7.5202
_cell_angle_alpha 131.52
_cell_angle_beta 131.52
_cell_angle_gamma 71.00
_space_group_name_H-M_alt 'P 1'
_space_group_IT_number 1
loop_
_space_group_symop_operation_xyz
'x,y,z'
loop_
_atom_site_label
_atom_site_fract_x
_atom_site_fract_y
_atom_site_fract_z
_atom_site_occupancy
Dy1 0.0000 0.0000 0.0000 1
Cu1 0.2500 0.7500 0.5000 1
Cu2 0.5000 0.5000 0.0000 1
Cu3 0.7500 0.2500 0.5000 1
Te1 0.1399 0.5827 0.0000 1
Te2 0.4173 0.4173 0.5572 1
Te3 0.5827 0.1399 0.0000 1
Te4 0.8601 0.8601 0.4428 1
```

Summary:
SG   I-42m, No. 121
Raw total energy   -30.76 eV per cell
Magnetic moment   0.02 Bohr magnetons per cell

***

# 2
The following is a PBE calculation of an optimized crystal structure of HfZrCo, from OQMD.

Cell and atoms, written as CIF:
```
data_HfZrCo
_cell_length_a 6.2954
_cell_length_b 5.2707
_cell_length_c 5.1839
_cell_angle_alpha 74.05
_cell_angle_beta 53.61
_cell_angle_gamma 52.35
_space_group_name_H-M_alt 'P 1'
_space_group_IT_number 1
loop_
_space_group_symop_operation_xyz
'x,y,z'
loop_
_atom_site_label
_atom_site_fract_x
_atom_site_fract_y
_atom_site_fract_z
_atom_site_occupancy
Hf1 0.1728 0.1728 0.8272 1
Hf2 0.8272 0.8272 0.1728 1
Zr1 0.3287 0.6713 0.3287 1
Zr2 0.6713 0.3287 0.6713 1
Co1 0.2500 0.2500 0.2500 1
Co2 0.7500 0.7500 0.7500 1
```

Summary:
SG   Fmmm, No. 69
Raw total energy   -52.89 eV per cell
Formation enthalpy at 0 K   -0.278 eV/atom
Magnetic moment   0.03 Bohr magnetons per cell

***

# 3
The following is a PBE calculation of an optimized crystal structure of Ga2Hg2O5, from OQMD.

Cell and atoms, written as CIF:
```
data_Ga2Hg2O5
_cell_length_a 3.7349
_cell_length_b 3.7349
_cell_length_c 8.9995
_cell_angle_alpha 90.00
_cell_angle_beta 90.00
_cell_angle_gamma 90.00
_space_group_name_H-M_alt 'P 1'
_space_group_IT_number 1
loop_
_space_group_symop_operation_xyz
'x,y,z'
loop_
_atom_site_label
_atom_site_fract_x
_atom_site_fract_y
_atom_site_fract_z
_atom_site_occupancy
Ga1 0.0000 0.0000 0.0000 1
Ga2 0.0000 0.0000 0.5000 1
Hg1 0.5000 0.5000 0.2453 1
Hg2 0.5000 0.5000 0.7547 1
O1 0.0000 0.5000 0.3761 1
O2 0.0000 0.5000 0.6239 1
O3 0.5000 0.0000 0.3761 1
O4 0.5000 0.0000 0.6239 1
O5 0.5000 0.5000 0.0000 1
```

Summary:
SG   P4/mmm, No. 123
Raw total energy   -33.64 eV per cell

***

# 4
The following is a PBE calculation of an optimized crystal structure of LiHoTm, from OQMD.

Cell and atoms, written as CIF:
```
data_LiHoTm
_cell_length_a 4.9959
_cell_length_b 4.9959
_cell_length_c 4.9959
_cell_angle_alpha 60.00
_cell_angle_beta 60.00
_cell_angle_gamma 60.00
_space_group_name_H-M_alt 'P 1'
_space_group_IT_number 1
loop_
_space_group_symop_operation_xyz
'x,y,z'
loop_
_atom_site_label
_atom_site_fract_x
_atom_site_fract_y
_atom_site_fract_z
_atom_site_occupancy
Li1 0.0000 0.0000 0.0000 1
Ho1 0.7500 0.7500 0.7500 1
Tm1 0.2500 0.2500 0.2500 1
```

Summary:
SG   F-43m, No. 216
Raw total energy   -9.39 eV per cell
Magnetic moment   0.04 Bohr magnetons per cell

***

# 5
The following is a PBE calculation of an optimized crystal structure of Na3TbP2, from OQMD.

Cell and atoms, written as CIF:
```
data_Na3TbP2
_cell_length_a 8.5448
_cell_length_b 8.5448
_cell_length_c 8.5448
_cell_angle_alpha 132.65
_cell_angle_beta 69.20
_cell_angle_gamma 132.66
_space_group_name_H-M_alt 'P 1'
_space_group_IT_number 1
loop_
_space_group_symop_operation_xyz
'x,y,z'
loop_
_atom_site_label
_atom_site_fract_x
_atom_site_fract_y
_atom_site_fract_z
_atom_site_occupancy
Na1 0.2009 0.6869 0.8878 1
Na2 0.2500 0.2500 0.0000 1
Na3 0.2991 0.1869 0.4860 1
Na4 0.7009 0.8131 0.5140 1
Na5 0.7500 0.7500 0.0000 1
Na6 0.7991 0.3131 0.1122 1
Tb1 0.2500 0.7500 0.5000 1
Tb2 0.7500 0.2500 0.5000 1
P1 0.1073 0.2831 0.3905 1
P2 0.3927 0.7831 0.1758 1
P3 0.6073 0.2169 0.8242 1
P4 0.8927 0.7169 0.6095 1
```

Summary:
SG   Ibam, No. 72
Raw total energy   -46.15 eV per cell
Magnetic moment   0.00 Bohr magnetons per cell

***

# 6
The following is a PBE calculation of an optimized crystal structure of DyGaHg, from OQMD.

Cell and atoms, written as CIF:
```
data_DyGaHg
_cell_length_a 4.8789
_cell_length_b 4.8789
_cell_length_c 4.8789
_cell_angle_alpha 60.00
_cell_angle_beta 60.00
_cell_angle_gamma 60.00
_space_group_name_H-M_alt 'P 1'
_space_group_IT_number 1
loop_
_space_group_symop_operation_xyz
'x,y,z'
loop_
_atom_site_label
_atom_site_fract_x
_atom_site_fract_y
_atom_site_fract_z
_atom_site_occupancy
Dy1 0.0000 0.0000 0.0000 1
Ga1 0.7500 0.7500 0.7500 1
Hg1 0.2500 0.2500 0.2500 1
```

Summary:
SG   F-43m, No. 216
Raw total energy   -8.18 eV per cell
Magnetic moment   0.00 Bohr magnetons per cell